1.
Entry from Alexandria: a relaxed ThSc3Ga3 crystal (GGA-PBE).

```
data_ThSc3Ga3
_space_group_name_H-M_alt 'R -3'
_space_group_IT_number 148
_space_group_name_Hall '-R 3'
_cell_length_a 8.3976
_cell_length_b 8.3976
_cell_length_c 15.5306
_cell_angle_alpha 90.00
_cell_angle_beta 90.00
_cell_angle_gamma 120.00
loop_
_atom_site_label
_atom_site_fract_x
_atom_site_fract_y
_atom_site_fract_z
Th1 0.0000 0.0000 0.2288
Sc1 0.0099 0.2381 0.4151
Ga1 0.0414 0.2610 0.9193
```

## Properties
formation energy from the elements	-300	meV per atom

=====

2.
Entry from Alexandria: a relaxed Tb5Sm2Rh4 crystal (GGA-PBE).

```
data_Tb5Sm2Rh4
_space_group_name_H-M_alt 'C 1 2/m 1'
_space_group_IT_number 12
_cell_length_a 24.1536
_cell_length_b 3.6195
_cell_length_c 6.8723
_cell_angle_alpha 90.00
_cell_angle_beta 93.18
_cell_angle_gamma 90.00
loop_
_space_group_symop_operation_xyz
'x,y,z'
'-x,-y,-z'
'-x,y,-z'
'x,-y,z'
'x+1/2,y+1/2,z'
'-x+1/2,-y+1/2,-z'
'-x+1/2,y+1/2,-z'
'x+1/2,-y+1/2,z'
loop_
_atom_site_label
_atom_site_fract_x
_atom_site_fract_y
_atom_site_fract_z
Tb1 0.0000 0.0000 0.0000
Tb2 0.1340 0.5000 0.1791
Tb3 0.2322 0.5000 0.7182
Sm1 0.0861 0.5000 0.6543
Rh1 0.0278 0.5000 0.2985
Rh2 0.1687 0.0000 0.4797
```

## Properties
formation energy from the elements	-411	meV per atom

=====

3.
Entry from Alexandria: a relaxed Hf4Cu3Rh2 crystal (GGA-PBE).

```
data_Hf4Cu3Rh2
_space_group_name_H-M_alt 'P -3 m 1'
_space_group_IT_number 164
_space_group_name_Hall '-P 3 2"'
_cell_length_a 4.4441
_cell_length_b 4.4441
_cell_length_c 8.9963
_cell_angle_alpha 90.00
_cell_angle_beta 90.00
_cell_angle_gamma 120.00
loop_
_atom_site_label
_atom_site_fract_x
_atom_site_fract_y
_atom_site_fract_z
Hf1 0.0000 0.0000 0.1613
Hf2 0.3333 0.6667 0.3852
Cu1 0.0000 0.0000 0.5000
Cu2 0.3333 0.6667 0.9955
Rh1 0.3333 0.6667 0.6887
```

## Properties
formation energy from the elements	-402	meV per atom

=====

4.
Entry from Alexandria: a relaxed ScBeZn crystal (GGA-PBE).

```
data_ScBeZn
_space_group_name_H-M_alt 'R -3 m'
_space_group_IT_number 166
_space_group_name_Hall '-R 3 2"'
_cell_length_a 5.0739
_cell_length_b 5.0739
_cell_length_c 36.3363
_cell_angle_alpha 90.00
_cell_angle_beta 90.00
_cell_angle_gamma 120.00
loop_
_atom_site_label
_atom_site_fract_x
_atom_site_fract_y
_atom_site_fract_z
Sc1 0.0000 0.0000 0.0399
Sc2 0.0000 0.0000 0.1821
Sc3 0.0000 0.0000 0.2687
Be1 0.0000 0.0000 0.3829
Be2 0.0000 0.0000 0.5000
Be3 0.0000 0.5000 0.0000
Zn1 0.9999 0.5000 0.2234
```

## Properties
offset from the most stable computed form	0	meV/atom
formation energy from the elements	-177	meV per atom